Compound: Be2ZnAs
Source: Alexandria
Functional: GGA-PBE
Structure: relaxed

Unit cell a=5.755 b=5.755 c=5.755 alpha=147.22 beta=146.96 gamma=47.23
Positions (direct):
Be 0.073 0.073 0.000
Be 0.228 0.728 0.500
Zn 0.461 0.461 0.000
As 0.738 0.238 0.500

Calculated values
energy relative to the lowest polymorph listed for this composition	71.0	meV/atom
space-group type	Imm2 (44)



Compound: Be2ZnAs
Source: Alexandria
Functional: GGA-PBE
Structure: relaxed

Unit cell a=5.607 b=5.607 c=6.147 alpha=62.86 beta=62.86 gamma=90.00
Positions (direct):
As 0.000 0.000 0.000
As 0.750 0.250 0.500
Zn 0.250 0.750 0.500
Zn 0.500 0.500 0.000
Be 0.875 0.920 0.750
Be 0.670 0.125 0.250
Be 0.375 0.330 0.750
Be 0.080 0.625 0.250

Calculated values
energy relative to the lowest polymorph listed for this composition	196.0	meV/atom
space-group type	I-42d (122)



Compound: BeZn4As
Source: Alexandria
Functional: GGA-PBE
Structure: relaxed

Unit cell a=5.100 b=5.100 c=5.100 alpha=60.00 beta=60.00 gamma=60.00
Positions (direct):
Zn 0.124 0.625 0.625
Be 0.000 0.000 0.000
Zn 0.625 0.625 0.625
Zn 0.625 0.625 0.124
As 0.250 0.250 0.250
Zn 0.625 0.124 0.625

Calculated values
space-group type	F-43m (216)



Compound: BeZnAs2
Source: Alexandria
Functional: GGA-PBE
Structure: relaxed

Unit cell a=4.374 b=4.374 c=3.503 alpha=90.00 beta=90.00 gamma=104.01
Positions (direct):
Zn 0.000 0.500 0.500
As 0.000 0.000 0.000
Be 0.500 0.000 0.500
As 0.500 0.500 0.000

Calculated values
energy relative to the lowest polymorph listed for this composition	347.8	meV/atom
space-group type	Cmmm (65)



Compound: Be2ZnAs
Source: Alexandria
Functional: GGA-PBE
Structure: relaxed

Unit cell a=4.181 b=4.181 c=5.184 alpha=72.93 beta=72.93 gamma=38.70
Positions (direct):
Be 0.512 0.512 0.568
Be 0.988 0.988 0.932
Zn 0.750 0.750 0.750
As 0.250 0.250 0.250

Calculated values
energy relative to the lowest polymorph listed for this composition	24.6	meV/atom
space-group type	C2/m (12)



Compound: BeZnAs
Source: Alexandria
Functional: GGA-PBE
Structure: relaxed

Unit cell a=4.023 b=4.023 c=4.023 alpha=60.00 beta=60.00 gamma=60.00
Positions (direct):
Be 0.750 0.750 0.750
Zn 0.000 0.000 0.000
As 0.500 0.500 0.500

Calculated values
energy relative to the lowest polymorph listed for this composition	74.3	meV/atom
space-group type	F-43m (216)



no.,N(E_F) (states/eV/cell),electronic total energy (eV/cell)
1,0.9,-12.0
2,5.0,-23.0
3,1.7,-11.2
4,1.6,-12.6
5,0.9,-12.2
6,2.2,-9.3